Compound: TlTc2Ni
Source: the Alexandria database
Functional: GGA-PBE
Structure: relaxed

abc: 9.234 2.947 4.739
angles: 90.00 102.04 90.00
Space group C2/m (No. 12)
Inequivalent atoms, fractional coordinates:
Tl1 0.000 0.000 0.000
Tc1 0.238 0.000 0.708
Ni1 0.000 0.500 0.500

Calculated values
**E_form**: 478 meV per atom
**Excess energy over the best structure of this formula in the dataset**: 99.7 meV/atom
**V**: 63.1 Å³/f.u.
**E_tot**: -6.742 eV/atom